(1)
## CeAlCdAg (PBE-GGA)

Data for a geometry-optimized CeAlCdAg structure.

ΔE_f = -0.1906 eV/atom
SG = F-43m, No. 216
Total energy = -0.1305 Ha/atom
Magnetization = 0.7 Bohr magnetons per cell

Geometry as POSCAR:
```
CeAlCdAg
1.0
4.995 0.000 0.000
2.497 4.325 0.000
2.497 1.442 4.078
Ce Al Cd Ag
1 1 1 1
direct
0.250 0.250 0.250
0.500 0.500 0.500
0.750 0.750 0.750
0.000 0.000 0.000
```



(2)
## Cd2In (PBE-GGA)

Data for a geometry-optimized Cd2In structure.

ΔE_f = 0.1055 eV/atom
SG = I4/mcm, No. 140
Total energy = -0.0521 Ha/atom
Magnetization = 0.0 Bohr magnetons per cell

Geometry as POSCAR:
```
Cd2In
1.0
-3.630 3.630 2.964
3.630 -3.630 2.964
3.630 3.630 -2.964
In Cd
2 4
direct
0.250 0.250 0.000
0.750 0.750 0.000
0.858 0.358 0.215
0.358 0.142 0.500
0.642 0.858 0.500
0.142 0.642 0.785
```